An optimized crystal structure of Sc4ZnCo2Pt. Source: Alexandria via LeMat-Bulk, functional PBE-GGA.

```
Sc4ZnCo2Pt
1.0
4.5552 0.0000 0.0000
2.2776 3.9449 0.0000
2.2776 1.3150 7.4699
Co Sc Pt Zn
2 4 1 1
Cartesian
6.8328 3.9449 5.6087 Co
2.2776 1.3150 1.8613 Co
2.2776 1.3150 4.6612 Sc
6.8328 3.9449 2.8087 Sc
4.5552 2.6299 0.9493 Sc
4.5552 2.6299 6.5207 Sc
4.5552 2.6299 3.7350 Pt
0.0000 0.0000 0.0000 Zn
```

Computed properties:
total DFT energy (no corrections)	-6.437	eV per atom
E_form	-4.6	eV per formula unit

An optimized crystal structure of CdGa5Ag8. Source: Alexandria via LeMat-Bulk, functional PBE-GGA.

```
CdGa5Ag8
1.0
7.0079 0.0975 -0.1676
-2.2795 6.6275 0.1676
-2.4490 -3.3029 5.6782
Ag Cd Ga
8 1 5
Cartesian
-2.3002 3.2484 2.8569 Ag
4.6972 -1.7280 3.6468 Ag
1.3861 -0.2929 5.1920 Ag
0.0072 3.4450 4.9625 Ag
3.8143 0.7119 1.8962 Ag
1.6587 3.1768 1.4113 Ag
-0.9359 4.6959 0.5413 Ag
0.7904 0.4312 2.2057 Ag
-1.2245 0.8609 4.3005 Cd
-0.3224 -2.5768 5.3896 Ga
2.2432 2.0605 3.8677 Ga
3.4594 5.3959 1.3251 Ga
2.2795 -1.6027 2.7553 Ga
-0.8213 1.9646 0.7739 Ga
```

Computed properties:
total DFT energy (no corrections)	-2.701	eV per atom
E_form	1.1	eV per formula unit